[1]
Density functional theory data (PBE) for KTc2As after structural relaxation.

Cell lengths 3.2214, 4.5868, 4.9105 Å; angles 90.00, 90.00, 90.00 degrees
Sites, in units of the cell vectors:
K 0.0000 0.0000 0.0000
Tc 0.0000 0.5000 0.5000
Tc 0.5000 0.0000 0.5000
As 0.5000 0.5000 0.0000

Output
Space group: Pmmm (47)
E_tot (eV per atom): -5.372
ΔE_f (meV per atom): 1248
Size of the total moment (μB/cell): 0.0

***

[2]
Density functional theory data (PBE) for TaMn2ZnMo after structural relaxation.

Cell lengths 4.3073, 4.3073, 4.6929 Å; angles 90.00, 90.00, 90.00 degrees
Sites, in units of the cell vectors:
Ta 0.0000 0.0000 0.0000
Mn 0.0000 0.5000 0.5000
Mn 0.5000 0.0000 0.5000
Zn 0.5000 0.5000 0.0000
Mo 0.5000 0.5000 0.5000

Output
Space group: P4/mmm (123)
E_tot (eV per atom): -6.941
ΔE_f (meV per atom): 1518
Size of the total moment (μB/cell): 0.0

***

[3]
Density functional theory data (PBE) for In4Bi2Au9 after structural relaxation.

Cell lengths 4.6953, 4.6953, 17.8603 Å; angles 90.00, 90.00, 120.00 degrees
Sites, in units of the cell vectors:
In 0.3333 0.6667 0.0705
In 0.3333 0.6667 0.3887
In 0.6667 0.3333 0.6113
In 0.6667 0.3333 0.9295
Bi 0.3333 0.6667 0.7469
Bi 0.6667 0.3333 0.2531
Au 0.0000 0.0000 0.1561
Au 0.0000 0.0000 0.3246
Au 0.0000 0.0000 0.5000
Au 0.0000 0.0000 0.6754
Au 0.0000 0.0000 0.8439
Au 0.3333 0.6667 0.5573
Au 0.3333 0.6667 0.9099
Au 0.6667 0.3333 0.0901
Au 0.6667 0.3333 0.4427

Output
Space group: P-3m1 (164)
E_tot (eV per atom): -3.302
ΔE_f (meV per atom): -88
Size of the total moment (μB/cell): 0.0

***

[4]
Density functional theory data (PBE) for CrHS2 after structural relaxation.

Cell lengths 10.2371, 10.2371, 4.2858 Å; angles 90.00, 90.00, 159.41 degrees
Sites, in units of the cell vectors:
Cr 0.0426 0.9574 0.7500
Cr 0.9574 0.0426 0.2500
H 0.3123 0.6877 0.7500
H 0.6877 0.3123 0.2500
S 0.0715 0.9285 0.2500
S 0.2451 0.7549 0.7500
S 0.7549 0.2451 0.2500
S 0.9285 0.0715 0.7500

Output
Space group: Cmcm (63)
E_tot (eV per atom): -5.200
Size of the total moment (μB/cell): 6.5
ΔE to the lowest computed polymorph (meV per atom): 571

***

[5]
Density functional theory data (PBE) for CeSmGa2Pt2 after structural relaxation.

Cell lengths 4.5062, 4.5062, 7.1333 Å; angles 90.00, 90.00, 120.00 degrees
Sites, in units of the cell vectors:
Ce 0.0000 0.0000 0.0000
Sm 0.0000 0.0000 0.5000
Ga 0.3333 0.6667 0.2508
Ga 0.6667 0.3333 0.7492
Pt 0.3333 0.6667 0.7523
Pt 0.6667 0.3333 0.2477

Output
Space group: P-3m1 (164)
E_tot (eV per atom): -5.805
ΔE_f (meV per atom): -1007
Size of the total moment (μB/cell): 0.4

***

[6]
Density functional theory data (PBE) for Sr2SeI after structural relaxation.

Cell lengths 4.4025, 8.0982, 7.8314 Å; angles 90.00, 90.00, 90.00 degrees
Sites, in units of the cell vectors:
Sr 0.2500 0.0073 0.2165
Sr 0.2500 0.4927 0.2165
Sr 0.7500 0.5073 0.7835
Sr 0.7500 0.9927 0.7835
Se 0.2500 0.7500 0.9157
Se 0.7500 0.2500 0.0843
I 0.2500 0.2500 0.5778
I 0.7500 0.7500 0.4222

Output
Space group: Pmmn (59)
E_tot (eV per atom): -3.591
Formation energy from raw total energies (eV per atom): -1.492
Size of the total moment (μB/cell): 0.0
ΔE to the lowest computed polymorph (meV per atom): 94